1.
# Ho3Mg2Au3

A relaxed structure of Ho3Mg2Au3 (PBE-GGA, the Alexandria database).

Calculated values
Magnetic moment = 0.0 μB/f.u.
Electronic total energy = -4.06 eV per atom
N(E_F) = 0.8537 states/eV/atom

a = 5.7882 Å, b = 8.5492 Å, c = 8.5492 Å
α = 120.00°, β = 90.00°, γ = 90.00°
Atoms (fractional coordinates):
Au 0.7500 0.0000 0.6088
Au 0.2500 0.0000 0.3912
Au 0.2500 0.3912 0.0000
Au 0.7500 0.6088 0.0000
Au 0.7500 0.3912 0.3912
Au 0.2500 0.6088 0.6088
Mg 0.5000 0.6667 0.3333
Mg 0.0000 0.3333 0.6667
Mg 0.5000 0.3333 0.6667
Mg 0.0000 0.6667 0.3333
Ho 0.7500 0.0000 0.2612
Ho 0.2500 0.0000 0.7388
Ho 0.2500 0.7388 0.0000
Ho 0.2500 0.2612 0.2612
Ho 0.7500 0.7388 0.7388
Ho 0.7500 0.2612 0.0000

2.
# Ho3Mg2Au3

A relaxed structure of Ho3Mg2Au3 (PBE-GGA, the Alexandria database).

Calculated values
Magnetic moment = 0.0 μB/f.u.
Electronic total energy = -3.97 eV per atom
N(E_F) = 0.4236 states/eV/atom

a = 3.5119 Å, b = 5.1119 Å, c = 10.7167 Å
α = 103.80°, β = 99.43°, γ = 90.00°
Atoms (fractional coordinates):
Ho 0.6224 0.6224 0.2447
Ho 0.3776 0.3776 0.7553
Ho 0.5000 0.0000 0.0000
Au 0.0000 0.5000 0.0000
Au 0.1255 0.1255 0.2510
Au 0.8745 0.8745 0.7490
Mg 0.7340 0.2340 0.4680
Mg 0.2660 0.7660 0.5320

Number 1: energy of formation from the pure elements -0.719 eV per atom, calculated volume 366.4 Å³ per cell, relative energy among the computed polymorphs 0 meV/atom. Number 2: energy of formation from the pure elements -0.627 eV per atom, calculated volume 184.2 Å³ per cell, relative energy among the computed polymorphs 92 meV/atom.